(P)
Material: ScCuAsBr2
Method: DFT, GGA-PBE
State: relaxed

Cell lengths 4.8234, 4.8234, 5.0740 Å; angles 90.00, 90.00, 90.00 degrees
Closest atoms and distances in Å follow each position.
Space group P4/mmm (No. 123)
Symmetry-distinct sites (fractional):
Sc 0.0000 0.0000 0.0000 [1 per cell]  4 As 3.41, 8 Br 3.50
Cu 0.5000 0.5000 0.5000 [1 per cell]  4 Br 2.41, 2 As 2.54
As 0.5000 0.5000 0.0000 [1 per cell]  2 Cu 2.54
Br 0.0000 0.5000 0.5000 [2 per cell]  2 Cu 2.41

magnetization	0.00	Bohr magnetons per cell
calculated density	4.8	g/cm3

=====

(Q)
Material: ScCuAsBr2
Method: DFT, GGA-PBE
State: relaxed

Cell lengths 5.1327, 5.1327, 5.5031 Å; angles 90.00, 90.00, 90.00 degrees
Closest atoms and distances in Å follow each position.
Space group P4/mmm (No. 123)
Symmetry-distinct sites (fractional):
Sc 0.0000 0.0000 0.0000 [1 per cell]  4 Br 2.57, 2 As 2.75
Cu 0.5000 0.5000 0.5000 [1 per cell]  4 As 3.63, 8 Br 3.76
As 0.0000 0.0000 0.5000 [1 per cell]  2 Sc 2.75
Br 0.0000 0.5000 0.0000 [2 per cell]  2 Sc 2.57

magnetization	0.00	Bohr magnetons per cell
calculated density	3.9	g/cm3

=====

Most stable: (Q)

=====

(P)
Material: CuSiAs2Br
Method: DFT, GGA-PBE
State: relaxed

Cell lengths 4.6305, 4.6305, 5.2624 Å; angles 90.00, 90.00, 90.00 degrees
Closest atoms and distances in Å follow each position.
Space group P4/mmm (No. 123)
Symmetry-distinct sites (fractional):
Cu 0.0000 0.0000 0.0000 [1 per cell]  4 As 2.32
Si 0.5000 0.5000 0.5000 [1 per cell]  4 Br 3.27, 8 As 3.50
As 0.0000 0.5000 0.0000 [2 per cell]  2 Cu 2.32
Br 0.0000 0.0000 0.5000 [1 per cell]  2 Cu 2.63

magnetization	0.00	Bohr magnetons per cell
calculated density	4.7	g/cm3

=====

(Q)
Material: CuSiAs2Br
Method: DFT, GGA-PBE
State: relaxed

Cell lengths 4.8108, 4.8108, 5.0646 Å; angles 90.00, 90.00, 90.00 degrees
Closest atoms and distances in Å follow each position.
Space group P4/mmm (No. 123)
Symmetry-distinct sites (fractional):
Cu 0.0000 0.0000 0.0000 [1 per cell]  4 Br 3.40, 8 As 3.49
Si 0.5000 0.5000 0.5000 [1 per cell]  4 As 2.41, 2 Br 2.53
As 0.0000 0.5000 0.5000 [2 per cell]  2 Si 2.41
Br 0.5000 0.5000 0.0000 [1 per cell]  2 Si 2.53

magnetization	0.48	Bohr magnetons per cell
calculated density	4.6	g/cm3

=====

Most stable: (P)